--- one ---
Material: Ho7Cd2Co2
Method: DFT, PBE
State: relaxed

Summary:
Space group: No. 65
N(E_F), states/eV/f.u.: 10.72
Magnetization, μB/f.u.: 0.00

```
Ho7Cd2Co2
1.0
6.600 -0.003 -0.904
0.003 7.030 0.003
-1.313 -0.002 6.531
Cd Ho Co
2 7 2
direct
0.179 0.500 0.179 Cd
0.821 0.500 0.821 Cd
0.500 0.243 0.000 Ho
0.500 0.233 0.500 Ho
0.500 0.757 0.000 Ho
0.500 0.767 0.500 Ho
0.000 0.757 0.500 Ho
0.000 0.243 0.500 Ho
0.000 0.000 0.000 Ho
0.708 0.000 0.292 Co
0.292 0.000 0.708 Co
```

***

--- two ---
Material: Ho7Cd2Co2
Method: DFT, PBE
State: relaxed

Summary:
Space group: No. 44
N(E_F), states/eV/f.u.: 9.75
Magnetization, μB/f.u.: 0.00

```
Ho7Cd2Co2
1.0
3.508 0.000 0.640
0.994 8.573 4.483
0.041 0.603 9.706
Ho Co Cd
7 2 2
direct
0.817 0.087 0.280 Ho
0.150 0.104 0.595 Ho
0.359 0.734 0.547 Ho
0.850 0.405 0.896 Ho
0.641 0.453 0.266 Ho
0.183 0.720 0.913 Ho
0.500 0.026 0.974 Ho
0.739 0.866 0.655 Co
0.261 0.345 0.134 Co
0.000 0.748 0.252 Cd
0.500 0.366 0.634 Cd
```

***

Energy relative to the most stable one, in meV/atom: one 69; two 0